The following is a PBE calculation of a geometry-optimized Be3Si2 structure, from Alexandria via LeMat-Bulk.

Lattice parameters (Å, degrees): 3.6323 3.6323 5.0980 90.00 90.00 120.00
Last column: nearest neighbours and their distance in Å.
Space group P-3m1 (No. 164)
One atom of each set of equivalent atoms:
Be  0.0000  0.0000  0.0000 [1 per cell]  6 Be 2.13
Be  0.3333  0.6667  0.9302 [2 per cell]  6 Be 2.13-2.21, 1 Si 2.25
Si  0.3333  0.6667  0.3725 [2 per cell]  1 Be 2.25, 3 Si 2.47

Summary:
* formation energy (no corrections): 337 meV per atom
* energy above the most stable polymorph in this dataset: 0.002 eV/atom
* final energy: -4.0682 eV/atom